1.
{"formula": "K2CaS2", "functional": "GGA-PBEsol", "state": "relaxed", "e_tot_ev_per_atom": -3.4168, "space_group": "I4/mmm", "crystal_system": "tetragonal", "formation_energy_uncorrected_mev_per_atom": -783, "m_tot_mub_per_fu": 0.00, "lattice": [[-2.752, 2.752, 4.511], [2.752, -2.752, 4.511], [2.752, 2.752, -4.511]], "species": ["K", "K", "Ca", "S", "S"], "frac_coords": [[0.151, 0.151, 0.000], [0.849, 0.849, 0.000], [0.500, 0.500, 0.000], [0.250, 0.750, 0.500], [0.750, 0.250, 0.500]]}


2.
{"formula": "TlCu2Ag", "functional": "GGA-PBEsol", "state": "relaxed", "e_tot_ev_per_atom": -3.4434, "space_group": "Pmmm", "formation_enthalpy_0k_kj_per_mol_atoms": 20.2, "crystal_system": "orthorhombic", "m_tot_mub_per_fu": 0.00, "lattice": [[3.201, 0.000, 0.000], [0.000, 3.325, 0.000], [0.000, 0.000, 5.948]], "species": ["Tl", "Cu", "Cu", "Ag"], "frac_coords": [[0.000, 0.000, 0.000], [0.500, 0.500, 0.279], [0.500, 0.500, 0.721], [0.000, 0.000, 0.500]]}


3.
{"formula": "LiMgSe", "functional": "GGA-PBEsol", "state": "relaxed", "e_tot_ev_per_atom": -3.2111, "space_group": "P3m1", "crystal_system": "trigonal", "formation_energy_uncorrected_mev_per_atom": -700, "m_tot_mub_per_fu": 0.46, "lattice": [[3.879, 0.000, 0.000], [-1.939, 3.359, 0.000], [0.000, 0.000, 5.299]], "species": ["Li", "Mg", "Se"], "frac_coords": [[0.000, 0.000, 0.000], [0.667, 0.333, 0.490], [0.333, 0.667, 0.231]]}


4.
{"formula": "KAlSbI2", "functional": "GGA-PBEsol", "state": "relaxed", "e_tot_ev_per_atom": -2.1668, "space_group": "P4/mmm", "crystal_system": "tetragonal", "formation_energy_uncorrected_mev_per_atom": 496, "m_tot_mub_per_fu": 2.99, "lattice": [[6.330, 0.000, 0.000], [0.000, 6.330, 0.000], [0.000, 0.000, 6.276]], "species": ["K", "Al", "Sb", "I", "I"], "frac_coords": [[0.000, 0.000, 0.000], [0.500, 0.500, 0.500], [0.000, 0.000, 0.500], [0.000, 0.500, 0.000], [0.500, 0.000, 0.000]]}


5.
{"formula": "LiMn3N", "functional": "GGA-PBEsol", "state": "relaxed", "e_tot_ev_per_atom": -8.0480, "space_group": "Pm-3m", "crystal_system": "cubic", "formation_energy_uncorrected_mev_per_atom": -93, "m_tot_mub_per_fu": 4.55, "lattice": [[3.727, 0.000, 0.000], [0.000, 3.727, 0.000], [0.000, 0.000, 3.727]], "species": ["Li", "Mn", "Mn", "Mn", "N"], "frac_coords": [[0.000, 0.000, 0.000], [0.000, 0.500, 0.500], [0.500, 0.000, 0.500], [0.500, 0.500, 0.000], [0.500, 0.500, 0.500]]}


6.
{"formula": "TaCr2Cd", "functional": "GGA-PBEsol", "state": "relaxed", "e_tot_ev_per_atom": -8.1367, "space_group": "R3m", "formation_enthalpy_0k_kj_per_mol_atoms": 40.7, "crystal_system": "trigonal", "m_tot_mub_per_fu": 0.00, "lattice": [[1.411, 0.815, 8.848], [-1.411, 0.815, 8.848], [0.000, -1.630, 8.848]], "species": ["Ta", "Cr", "Cr", "Cd"], "frac_coords": [[0.000, 0.000, 0.000], [0.478, 0.478, 0.478], [0.753, 0.753, 0.753], [0.235, 0.235, 0.235]]}


7.
{"formula": "Ca2Ru2O7", "functional": "GGA-PBEsol", "state": "relaxed", "e_tot_ev_per_atom": -7.3719, "space_group": "Fd-3m", "crystal_system": "cubic", "formation_energy_uncorrected_mev_per_atom": -1794, "m_tot_mub_per_fu": 0.00, "lattice": [[0.000, 5.067, 5.067], [5.067, 0.000, 5.067], [5.067, 5.067, 0.000]], "species": ["Ca", "Ca", "Ca", "Ca", "Ru", "Ru", "Ru", "Ru", "O", "O", "O", "O", "O", "O", "O", "O", "O", "O", "O", "O", "O", "O"], "frac_coords": [[0.000, 0.000, 0.000], [0.000, 0.000, 0.500], [0.000, 0.500, 0.000], [0.500, 0.000, 0.000], [0.000, 0.500, 0.500], [0.500, 0.000, 0.500], [0.500, 0.500, 0.000], [0.500, 0.500, 0.500], [0.125, 0.125, 0.125], [0.182, 0.182, 0.568], [0.182, 0.568, 0.182], [0.182, 0.568, 0.568], [0.432, 0.432, 0.818], [0.432, 0.818, 0.432], [0.432, 0.818, 0.818], [0.568, 0.182, 0.182], [0.568, 0.182, 0.568], [0.568, 0.568, 0.182], [0.818, 0.432, 0.432], [0.818, 0.432, 0.818], [0.818, 0.818, 0.432], [0.875, 0.875, 0.875]]}


8.
{"formula": "NaGaAs2Se", "functional": "GGA-PBEsol", "state": "relaxed", "e_tot_ev_per_atom": -3.5240, "space_group": "P4/mmm", "crystal_system": "tetragonal", "formation_energy_uncorrected_mev_per_atom": 236, "m_tot_mub_per_fu": 0.00, "lattice": [[4.876, 0.000, 0.000], [0.000, 4.876, 0.000], [0.000, 0.000, 5.177]], "species": ["Na", "Ga", "As", "As", "Se"], "frac_coords": [[0.000, 0.000, 0.000], [0.500, 0.500, 0.500], [0.000, 0.500, 0.500], [0.500, 0.000, 0.500], [0.500, 0.500, 0.000]]}